Material: LiNiMoPb
Method: DFT, PBE
State: relaxed

Values from the calculation:
For the distance to the lowest polymorph of the same formula, the calculation gives 0 meV per atom. As for the magnetic moment: 2.9 μB/f.u. The calculation puts the final energy at -5.135 eV per atom.

Lattice parameters (Å, degrees): 4.4664 4.4664 4.4664 60.00 60.00 60.00
Last column: nearest neighbours and their distance in Å.
Fractional coordinates of all 4 atoms:
Li (0.2500, 0.2500, 0.2500)  4 Mo 2.74, 4 Pb 2.74
Mo (0.5000, 0.5000, 0.5000)  4 Li 2.74, 4 Ni 2.74
Ni (0.7500, 0.7500, 0.7500)  4 Mo 2.74, 4 Pb 2.74
Pb (0.0000, 0.0000, 0.0000)  4 Ni 2.74, 4 Li 2.74

=====

Material: Hg2N
Method: DFT, PBE
State: relaxed

Values from the calculation:
For the distance to the lowest polymorph of the same formula, the calculation gives 111 meV per atom. The calculation puts the final energy at -1.781 eV per atom.

Lattice parameters (Å, degrees): 4.2614 4.2614 4.2614 60.00 60.00 60.00
Last column: nearest neighbours and their distance in Å.
Fractional coordinates of all 3 atoms:
Hg (0.2500, 0.2500, 0.2500)  4 N 2.61
Hg (0.7500, 0.7500, 0.7500)  4 N 2.61
N (0.0000, 0.0000, 0.0000)  8 Hg 2.61

=====

Material: NdTm2As3
Method: DFT, PBE
State: relaxed

Values from the calculation:
As for the magnetic moment: 0.0 μB/f.u. The calculation puts the final energy at -6.107 eV per atom.

Lattice parameters (Å, degrees): 4.1318 4.1318 10.1069 90.00 90.00 120.00
Last column: nearest neighbours and their distance in Å.
Fractional coordinates of all 6 atoms:
As (0.0000, 0.0000, 0.0000)  6 Tm 2.89
As (0.3333, 0.6667, 0.3218)  3 Tm 2.88, 3 Nd 2.99
As (0.6667, 0.3333, 0.6782)  3 Tm 2.88, 3 Nd 2.99
Nd (0.0000, 0.0000, 0.5000)  6 As 2.99
Tm (0.6667, 0.3333, 0.1614)  6 As 2.88-2.89
Tm (0.3333, 0.6667, 0.8386)  6 As 2.88-2.89

=====

Material: CsNaNb
Method: DFT, PBE
State: relaxed

Values from the calculation:
As for the magnetic moment: 5.1 μB/f.u. The calculation puts the final energy at -2.227 eV per atom.

Lattice parameters (Å, degrees): 5.9691 5.9691 5.9691 60.00 60.00 60.00
Last column: nearest neighbours and their distance in Å.
Fractional coordinates of all 3 atoms:
Cs (0.0000, 0.0000, 0.0000)  4 Nb 3.66, 4 Na 3.66
Na (0.2500, 0.2500, 0.2500)  4 Cs 3.66
Nb (0.7500, 0.7500, 0.7500)  4 Cs 3.66

=====

Material: RbTmCoTe3
Method: DFT, PBE
State: relaxed

Values from the calculation:
As for the magnetic moment: 2.0 μB/f.u. The calculation puts the final energy at -4.309 eV per atom.

Lattice parameters (Å, degrees): 8.9728 8.9728 9.5436 92.03 92.03 30.55
Last column: nearest neighbours and their distance in Å.
Fractional coordinates of all 12 atoms:
Co (0.5044, 0.5044, 0.3790)  1 Co 2.32
Co (0.4956, 0.4956, 0.6210)  1 Co 2.32
Rb (0.1465, 0.1465, 0.0865)  6 Te 3.54-3.75
Rb (0.8535, 0.8535, 0.9135)  6 Te 3.54-3.75
Te (0.5000, 0.5000, 0.0000)  2 Te 3.10
Te (0.3718, 0.3718, 0.2186)  1 Co 2.71
Te (0.6658, 0.6658, 0.3704)  1 Co 2.80, 3 Tm 2.99-3.13
Te (0.0000, 0.0000, 0.5000)  4 Co 2.63, 2 Tm 2.90
Te (0.3342, 0.3342, 0.6296)  1 Co 2.80, 3 Tm 2.99-3.13
Te (0.6282, 0.6282, 0.7814)  1 Co 2.71
Tm (0.8376, 0.8376, 0.4145)  6 Te 2.90-3.13
Tm (0.1624, 0.1624, 0.5855)  6 Te 2.90-3.13

=====

Material: AlTcNO
Method: DFT, PBE
State: relaxed

Values from the calculation:
For the distance to the lowest polymorph of the same formula, the calculation gives 292 meV per atom. As for the magnetic moment: 0.0 μB/f.u. The calculation puts the final energy at -7.873 eV per atom.

Lattice parameters (Å, degrees): 4.9159 2.9594 5.9061 90.00 90.00 90.00
Last column: nearest neighbours and their distance in Å.
Fractional coordinates of all 8 atoms:
Al (0.9782, 0.0000, 0.3726)  2 O 1.79, 2 N 1.85
Al (0.4782, 0.0000, 0.6274)  2 O 1.79, 2 N 1.85
N (0.6057, 0.0000, 0.3324)  2 Al 1.85
N (0.1057, 0.0000, 0.6676)  2 Al 1.85
O (0.1265, 0.5000, 0.2570)  2 Al 1.79
O (0.6265, 0.5000, 0.7430)  2 Al 1.79
Tc (0.5356, 0.5000, 0.0879)  2 O 2.09-2.25, 2 N 2.10
Tc (0.0356, 0.5000, 0.9121)  2 O 2.09-2.25, 2 N 2.10

=====

Material: Zn2AgIr
Method: DFT, PBE
State: relaxed

Values from the calculation:
The value obtained for the energy relative to the elements is 0.092 eV/atom. As for the magnetic moment: 0.0 μB/f.u. The calculation puts the final energy at -3.460 eV per atom.

Lattice parameters (Å, degrees): 4.4158 4.4158 4.4158 60.00 60.00 60.00
Last column: nearest neighbours and their distance in Å.
Fractional coordinates of all 4 atoms:
Ag (0.5000, 0.5000, 0.5000)  4 Ir 2.70, 4 Zn 2.70
Ir (0.7500, 0.7500, 0.7500)  4 Ag 2.70, 4 Zn 2.70
Zn (0.0000, 0.0000, 0.0000)  4 Ir 2.70, 4 Zn 2.70
Zn (0.2500, 0.2500, 0.2500)  4 Ag 2.70, 4 Zn 2.70

=====

Material: BeCuAgPb
Method: DFT, PBE
State: relaxed

Values from the calculation:
For the distance to the lowest polymorph of the same formula, the calculation gives 72 meV per atom. The calculation puts the final energy at -2.975 eV per atom.

Lattice parameters (Å, degrees): 4.6222 4.6222 4.6222 60.00 60.00 60.00
Last column: nearest neighbours and their distance in Å.
Fractional coordinates of all 4 atoms:
Ag (0.2500, 0.2500, 0.2500)  4 Be 2.83, 4 Pb 2.83
Be (0.5000, 0.5000, 0.5000)  4 Ag 2.83, 4 Cu 2.83
Cu (0.7500, 0.7500, 0.7500)  4 Pb 2.83, 4 Be 2.83
Pb (0.0000, 0.0000, 0.0000)  4 Cu 2.83, 4 Ag 2.83

=====

Material: GdYBPb
Method: DFT, PBE
State: relaxed

Values from the calculation:
As for the magnetic moment: 0.0 μB/f.u. The calculation puts the final energy at -5.572 eV per atom.

Lattice parameters (Å, degrees): 3.7115 3.7115 16.8199 90.00 90.00 120.00
Last column: nearest neighbours and their distance in Å.
Fractional coordinates of all 8 atoms:
B (0.0000, 0.0000, 0.0000)  6 Gd 2.64
B (0.0000, 0.0000, 0.5000)  6 Y 2.61
Gd (0.3333, 0.6667, 0.0912)  3 B 2.64
Gd (0.6667, 0.3333, 0.9088)  3 B 2.64
Pb (0.6667, 0.3333, 0.2519)  3 Y 3.43, 3 Gd 3.45, 6 Pb 3.71
Pb (0.3333, 0.6667, 0.7481)  3 Y 3.43, 3 Gd 3.45, 6 Pb 3.71
Y (0.3333, 0.6667, 0.4109)  3 B 2.61
Y (0.6667, 0.3333, 0.5891)  3 B 2.61

=====

Material: Pr2Pd2O5
Method: DFT, PBE
State: relaxed

Values from the calculation:
For the distance to the lowest polymorph of the same formula, the calculation gives 410 meV per atom. As for the magnetic moment: 0.2 μB/f.u. The calculation puts the final energy at -6.319 eV per atom.

Lattice parameters (Å, degrees): 9.5384 3.8425 3.8425 90.00 90.00 90.00
Last column: nearest neighbours and their distance in Å.
Fractional coordinates of all 9 atoms:
O (0.1278, 0.5000, 0.0000)  2 Pd 2.28, 2 Pr 2.28, 1 O 2.44
O (0.8722, 0.5000, 0.0000)  2 Pd 2.28, 2 Pr 2.28, 1 O 2.44
O (0.1278, 0.0000, 0.5000)  2 Pd 2.28, 2 Pr 2.28, 1 O 2.44
O (0.8722, 0.0000, 0.5000)  2 Pd 2.28, 2 Pr 2.28, 1 O 2.44
O (0.5000, 0.5000, 0.5000)  2 Pr 2.32
Pd (0.0000, 0.0000, 0.0000)  8 O 2.28
Pd (0.5000, 0.0000, 0.0000)  4 O 2.72
Pr (0.2564, 0.5000, 0.5000)  5 O 2.28-2.32
Pr (0.7436, 0.5000, 0.5000)  5 O 2.28-2.32

=====

Material: KSiAgTe2Se
Method: DFT, PBE
State: relaxed

Values from the calculation:
The calculation puts the final energy at -3.401 eV per atom.

Lattice parameters (Å, degrees): 8.0663 8.0663 11.1185 90.00 90.00 152.52
Last column: nearest neighbours and their distance in Å.
Fractional coordinates of all 12 atoms:
Ag (0.0701, 0.9299, 0.2500)  2 Se 2.66, 2 Te 2.71
Ag (0.9299, 0.0701, 0.7500)  2 Se 2.66, 2 Te 2.71
K (0.7635, 0.2365, 0.2500)  6 Te 3.46-3.86, 2 Se 3.52, 2 Ag 3.58, 2 K 3.83
K (0.2365, 0.7635, 0.7500)  6 Te 3.46-3.86, 2 Se 3.52, 2 Ag 3.58, 2 K 3.83
Se (0.4522, 0.5478, 0.2500)  2 Ag 2.66, 2 Si 2.88
Se (0.5478, 0.4522, 0.7500)  2 Ag 2.66, 2 Si 2.88
Si (0.5000, 0.5000, 0.0000)  4 Te 2.76, 2 Se 2.88
Si (0.5000, 0.5000, 0.5000)  4 Te 2.76, 2 Se 2.88
Te (0.1260, 0.8740, 0.0191)  1 Ag 2.71, 2 Si 2.76
Te (0.1260, 0.8740, 0.4809)  1 Ag 2.71, 2 Si 2.76
Te (0.8740, 0.1260, 0.5191)  1 Ag 2.71, 2 Si 2.76
Te (0.8740, 0.1260, 0.9809)  1 Ag 2.71, 2 Si 2.76

=====

Material: YBeSiIr
Method: DFT, PBE
State: relaxed

Values from the calculation:
For the distance to the lowest polymorph of the same formula, the calculation gives 336 meV per atom. As for the magnetic moment: 0.0 μB/f.u. The calculation puts the final energy at -6.190 eV per atom.

Lattice parameters (Å, degrees): 4.5176 4.5176 4.5176 60.00 60.00 60.00
Last column: nearest neighbours and their distance in Å.
Fractional coordinates of all 4 atoms:
Be (0.7500, 0.7500, 0.7500)  4 Ir 2.77, 4 Si 2.77
Ir (0.0000, 0.0000, 0.0000)  4 Be 2.77, 4 Y 2.77
Si (0.5000, 0.5000, 0.5000)  4 Be 2.77, 4 Y 2.77
Y (0.2500, 0.2500, 0.2500)  4 Ir 2.77, 4 Si 2.77

=====

Material: IrPb
Method: DFT, PBE
State: relaxed

Values from the calculation:
As for the magnetic moment: 0.0 μB/f.u. The calculation puts the final energy at -5.639 eV per atom.

Lattice parameters (Å, degrees): 3.9363 3.9363 3.9363 60.00 60.00 60.00
Last column: nearest neighbours and their distance in Å.
Fractional coordinates of all 2 atoms:
Ir (0.0000, 0.0000, 0.0000)  6 Pb 2.78
Pb (0.5000, 0.5000, 0.5000)  6 Ir 2.78

=====

Material: KSmSO
Method: DFT, PBE
State: relaxed

Values from the calculation:
For the distance to the lowest polymorph of the same formula, the calculation gives 77 meV per atom. As for the magnetic moment: 0.0 μB/f.u. The calculation puts the final energy at -5.914 eV per atom.

Lattice parameters (Å, degrees): 7.2647 7.2647 7.2647 30.47 30.47 30.47
Last column: nearest neighbours and their distance in Å.
Fractional coordinates of all 4 atoms:
K (0.9963, 0.9963, 0.9963)  3 S 3.04, 3 O 3.06
O (0.2272, 0.2272, 0.2272)  3 Sm 2.42
S (0.7637, 0.7637, 0.7637)  3 Sm 2.79, 3 K 3.04
Sm (0.5128, 0.5128, 0.5128)  3 O 2.42

=====

Material: TbAgSnS3
Method: DFT, PBE
State: relaxed

Values from the calculation:
For the distance to the lowest polymorph of the same formula, the calculation gives 36 meV per atom. As for the magnetic moment: 0.0 μB/f.u. The calculation puts the final energy at -4.935 eV per atom.

Lattice parameters (Å, degrees): 10.5208 4.0517 13.0629 90.00 90.00 90.00
Last column: nearest neighbours and their distance in Å.
Fractional coordinates of all 24 atoms:
Ag (0.7337, 0.7500, 0.2173)  4 S 2.47-2.60
Ag (0.2337, 0.7500, 0.2827)  4 S 2.47-2.60
Ag (0.7663, 0.2500, 0.7173)  4 S 2.47-2.60
Ag (0.2663, 0.2500, 0.7827)  4 S 2.47-2.60
S (0.9244, 0.7500, 0.1070)  1 Ag 2.47, 2 Tb 2.69
S (0.5325, 0.7500, 0.1132)  1 Ag 2.52, 1 Sn 2.76
S (0.2382, 0.2500, 0.1583)  2 Ag 2.60, 2 Sn 2.86, 1 Tb 2.89
S (0.7382, 0.2500, 0.3417)  2 Ag 2.60, 2 Sn 2.86, 1 Tb 2.89
S (0.0325, 0.7500, 0.3868)  1 Ag 2.52, 1 Sn 2.76
S (0.4244, 0.7500, 0.3930)  1 Ag 2.47, 2 Tb 2.69
S (0.5756, 0.2500, 0.6070)  1 Ag 2.47, 2 Tb 2.69
S (0.9675, 0.2500, 0.6132)  1 Ag 2.52, 1 Sn 2.76
S (0.2618, 0.7500, 0.6583)  2 Ag 2.60, 2 Sn 2.86, 1 Tb 2.89
S (0.7618, 0.7500, 0.8417)  2 Ag 2.60, 2 Sn 2.86, 1 Tb 2.89
S (0.4675, 0.2500, 0.8868)  1 Ag 2.52, 1 Sn 2.76
S (0.0756, 0.2500, 0.8930)  1 Ag 2.47, 2 Tb 2.69
Sn (0.3018, 0.7500, 0.0122)  3 S 2.76-2.86
Sn (0.8018, 0.7500, 0.4878)  3 S 2.76-2.86
Sn (0.1982, 0.2500, 0.5122)  3 S 2.76-2.86
Sn (0.6982, 0.2500, 0.9878)  3 S 2.76-2.86
Tb (0.9785, 0.2500, 0.2350)  6 S 2.69-2.91
Tb (0.4785, 0.2500, 0.2650)  6 S 2.69-2.91
Tb (0.5215, 0.7500, 0.7350)  6 S 2.69-2.91
Tb (0.0215, 0.7500, 0.7650)  6 S 2.69-2.91

=====

Material: CsPmU
Method: DFT, PBE
State: relaxed

Values from the calculation:
For the distance to the lowest polymorph of the same formula, the calculation gives 30 meV per atom. As for the magnetic moment: 3.5 μB/f.u. The calculation puts the final energy at -3.685 eV per atom.

Lattice parameters (Å, degrees): 5.3947 5.3947 5.3947 60.00 60.00 60.00
Last column: nearest neighbours and their distance in Å.
Fractional coordinates of all 3 atoms:
Cs (0.0000, 0.0000, 0.0000)  4 Pm 3.30, 4 U 3.30
Pm (0.7500, 0.7500, 0.7500)  4 Cs 3.30
U (0.2500, 0.2500, 0.2500)  4 Cs 3.30

=====

Material: SmScTa
Method: DFT, PBE
State: relaxed

Values from the calculation:
For the distance to the lowest polymorph of the same formula, the calculation gives 180 meV per atom. The value obtained for the energy relative to the elements is 1.355 eV/atom. As for the magnetic moment: 1.0 μB/f.u. The calculation puts the final energy at -6.275 eV per atom.

Lattice parameters (Å, degrees): 4.8715 4.8715 4.8715 60.00 60.00 60.00
Last column: nearest neighbours and their distance in Å.
Fractional coordinates of all 3 atoms:
Sc (0.2500, 0.2500, 0.2500)  4 Sm 2.98
Sm (0.0000, 0.0000, 0.0000)  4 Ta 2.98, 4 Sc 2.98
Ta (0.7500, 0.7500, 0.7500)  4 Sm 2.98

=====

Material: Sm2Tl
Method: DFT, PBE
State: relaxed

Values from the calculation:
As for the magnetic moment: 0.0 μB/f.u. The calculation puts the final energy at -2.494 eV per atom.

Lattice parameters (Å, degrees): 9.4855 9.4855 9.4855 60.00 60.00 60.00
Last column: nearest neighbours and their distance in Å.
Fractional coordinates of all 6 atoms:
Sm (0.3750, 0.3750, 0.3750)  2 Tl 2.90
Sm (0.8750, 0.3750, 0.3750)  2 Tl 2.90
Sm (0.3750, 0.8750, 0.3750)  2 Tl 2.90
Sm (0.3750, 0.3750, 0.8750)  2 Tl 2.90
Tl (0.2500, 0.2500, 0.2500)  4 Sm 2.90
Tl (0.5000, 0.5000, 0.5000)  4 Sm 2.90

=====

Material: Tl2Pd2Au
Method: DFT, PBE
State: relaxed

Values from the calculation:
For the distance to the lowest polymorph of the same formula, the calculation gives 155 meV per atom. The calculation puts the final energy at -3.432 eV per atom.

Lattice parameters (Å, degrees): 6.8142 6.8142 6.8142 143.78 143.78 52.16
Last column: nearest neighbours and their distance in Å.
Fractional coordinates of all 5 atoms:
Au (0.0000, 0.0000, 0.0000)  8 Pd 3.25
Pd (0.3963, 0.3963, 0.0000)  1 Pd 2.54, 4 Tl 2.77
Pd (0.6037, 0.6037, 0.0000)  1 Pd 2.54, 4 Tl 2.77
Tl (0.7500, 0.2500, 0.5000)  4 Pd 2.77, 4 Tl 3.00
Tl (0.2500, 0.7500, 0.5000)  4 Pd 2.77, 4 Tl 3.00

=====

Material: RbZr5
Method: DFT, PBE
State: relaxed

Values from the calculation:
As for the magnetic moment: 0.0 μB/f.u. The calculation puts the final energy at -6.648 eV per atom.

Lattice parameters (Å, degrees): 5.8008 5.8008 5.3174 90.00 90.00 60.00
Last column: nearest neighbours and their distance in Å.
Fractional coordinates of all 6 atoms:
Rb (0.0000, 0.0000, 0.0000)  12 Zr 3.35-3.45
Zr (0.3333, 0.3333, 0.0000)  9 Zr 3.22-3.35, 3 Rb 3.35
Zr (0.6667, 0.6667, 0.0000)  9 Zr 3.22-3.35, 3 Rb 3.35
Zr (0.6200, 0.0000, 0.5000)  8 Zr 3.14-3.22, 2 Rb 3.45
Zr (0.0000, 0.3800, 0.5000)  8 Zr 3.14-3.22, 2 Rb 3.45
Zr (0.3800, 0.6200, 0.5000)  8 Zr 3.14-3.22, 2 Rb 3.45